No. 1
A geometry-optimized Zr4HgPb structure, computed with PBE.

The value obtained for the formation energy is 0.22 eV/atom.

It has space group F-43m (No. 216), with a = 8.274 Å, b = 8.274 Å, c = 8.274 Å, α = 90.00°, β = 90.00° and γ = 90.00°. The distinct sites, in fractional coordinates, are Zr at (0.125, 0.125, 0.125), Hg at (0.250, 0.250, 0.750) and Pb at (0.000, 0.000, 0.500).

***

No. 2
A geometry-optimized PSe2Br structure, computed with PBE.

The formation energy without anion corrections is 0.786 eV/atom.

It has space group Fm-3m (No. 225), with a = 6.855 Å, b = 6.855 Å, c = 6.855 Å, α = 90.00°, β = 90.00° and γ = 90.00°. The distinct sites, in fractional coordinates, are P at (0.000, 0.000, 0.000), Se at (0.250, 0.250, 0.250) and Br at (0.000, 0.000, 0.500).

***

No. 3
A geometry-optimized BeCuOs3 structure, computed with PBE.

The value obtained for the formation energy is 1.01 eV/atom.

It has space group Pm-3m (No. 221), with a = 4.088 Å, b = 4.088 Å, c = 4.088 Å, α = 90.00°, β = 90.00° and γ = 90.00°. The distinct sites, in fractional coordinates, are Be at (0.000, 0.000, 0.000), Cu at (0.500, 0.500, 0.500) and Os at (0.000, 0.000, 0.500).

***

No. 4
A geometry-optimized HgSbAu2 structure, computed with PBE.

The formation energy without anion corrections is 0.134 eV/atom.

It has space group C2/m (No. 12), with a = 8.253 Å, b = 4.767 Å, c = 6.963 Å, α = 90.00°, β = 108.83° and γ = 90.00°. The distinct sites, in fractional coordinates, are Hg at (0.000, 0.000, 0.000), Sb at (0.000, 0.500, 0.500) and Au at (0.145, 0.000, 0.415).

***

| no. | E_tot (eV per atom) | N(E_F) (states/eV per cell) |
| --- | --- | --- |
| 1 | -6.149 | 26.04 |
| 2 | -2.727 | 16.61 |
| 3 | -7.294 | 10.81 |
| 4 | -2.611 | 4.03 |